Material: CdAg2
Method: DFT, SCAN
State: single point on PBEsol structure

Cell and atoms, written as extended XYZ:
```
3
Lattice="4.601 0.000 0.000 -2.301 3.985 0.000 0.000 0.000 2.870" Properties=species:S:1:pos:R:3 pbc="T T T"
Cd 0.000 0.000 0.000
Ag 0.000 2.657 1.897
Ag 2.301 1.328 0.974
```

ΔE to the lowest computed polymorph = 26 meV per atom
Crystal system = trigonal


Material: Cd2Ag3
Method: DFT, SCAN
State: single point on PBEsol structure

Cell and atoms, written as extended XYZ:
```
5
Lattice="-1.487 1.997 7.444 1.487 -1.997 7.444 1.487 1.997 -7.444" Properties=species:S:1:pos:R:3 pbc="T T T"
Cd 0.000 0.000 1.531
Cd 0.000 0.000 13.357
Ag 0.000 0.000 4.458
Ag 0.000 0.000 7.444
Ag 0.000 0.000 10.430
```

ΔE to the lowest computed polymorph = 0 meV per atom
Crystal system = orthorhombic


Material: CdAg2
Method: DFT, SCAN
State: single point on PBEsol structure

Cell and atoms, written as extended XYZ:
```
12
Lattice="-2.062 2.062 12.325 2.062 -2.062 12.325 2.062 2.062 -12.325" Properties=species:S:1:pos:R:3 pbc="T T T"
Cd 2.062 1.031 1.066
Cd 2.062 1.031 5.096
Cd 0.000 1.031 7.229
Cd 0.000 1.031 11.258
Ag 2.062 -1.031 7.204
Ag 2.062 1.031 -3.092
Ag 2.062 -1.031 11.283
Ag 0.000 1.031 3.070
Ag 2.062 1.031 9.254
Ag 0.000 3.093 1.042
Ag 0.000 1.031 15.417
Ag 0.000 3.093 5.121
```

ΔE to the lowest computed polymorph = 0 meV per atom
Crystal system = tetragonal


Material: CdAg2
Method: DFT, SCAN
State: single point on PBEsol structure

Cell and atoms, written as extended XYZ:
```
3
Lattice="-1.482 1.482 5.981 1.482 -1.482 5.981 1.482 1.482 -5.981" Properties=species:S:1:pos:R:3 pbc="T T T"
Cd 0.000 0.000 0.000
Ag 0.000 0.000 3.958
Ag 0.000 0.000 8.004
```

ΔE to the lowest computed polymorph = 15 meV per atom
Crystal system = tetragonal


Material: Cd5Ag
Method: DFT, SCAN
State: single point on PBEsol structure

Cell and atoms, written as extended XYZ:
```
6
Lattice="3.049 0.000 0.000 0.000 3.049 0.000 0.000 0.000 12.785" Properties=species:S:1:pos:R:3 pbc="T T T"
Cd 0.000 0.000 0.000
Cd 0.000 0.000 4.418
Cd 0.000 0.000 8.367
Cd 1.524 1.524 2.209
Cd 1.524 1.524 10.576
Ag 1.524 1.524 6.392
```

Crystal system = tetragonal


Material: Cd3Ag5
Method: DFT, SCAN
State: single point on PBEsol structure

Cell and atoms, written as extended XYZ:
```
8
Lattice="4.004 -4.218 0.000 4.004 4.218 0.000 0.000 0.000 4.172" Properties=species:S:1:pos:R:3 pbc="T T T"
Cd 0.000 0.000 0.000
Cd 4.004 2.042 2.086
Cd 4.004 -2.042 2.086
Ag 2.002 2.109 0.000
Ag 1.986 0.000 2.086
Ag 2.002 -2.109 0.000
Ag 4.004 0.000 0.000
Ag 6.021 0.000 2.086
```

ΔE to the lowest computed polymorph = 0 meV per atom
Crystal system = orthorhombic


Final energy readings, ordered: -31.077, -31.043, -31.103, -31.088, -30.565, -31.068 eV/atom
Formation energy readings, ordered: -0.03, -0.06, -0.05, -0.04, 0.01, -0.06 eV per atom